# CsAsIr3

An optimized crystal structure of CsAsIr3 (PBE-GGA, Alexandria).

abc: 4.9884 4.9884 4.9884
angles: 90.00 90.00 90.00
Site moments in Bohr magnetons follow the coordinates.
Positions (direct):
Ir (0.0000, 0.0000, 0.5000)  0.10
Ir (0.5000, 0.0000, 0.0000)  0.15
Ir (0.0000, 0.5000, 0.0000)  0.15
Cs (0.0000, 0.0000, 0.0000)  0.01
As (0.5000, 0.5000, 0.5000)  -0.01

Summary:
Magnetic moment: 0.39 Bohr magnetons per cell



# Cs3AsIr

An optimized crystal structure of Cs3AsIr (PBE-GGA, Alexandria).

abc: 6.0430 6.0430 6.0430
angles: 90.00 90.00 90.00
Site moments in Bohr magnetons follow the coordinates.
Positions (direct):
Cs (0.5000, 0.0000, 0.0000)  0.02
Cs (0.0000, 0.5000, 0.0000)  0.01
Cs (0.0000, 0.0000, 0.5000)  0.00
As (0.5000, 0.5000, 0.5000)  0.58
Ir (0.0000, 0.0000, 0.0000)  0.17

Summary:
Magnetic moment: 1.70 Bohr magnetons per cell



# CsAsPIrO

An optimized crystal structure of CsAsPIrO (PBE-GGA, Alexandria).

abc: 3.8439 4.6014 7.1312
angles: 73.51 86.58 84.97
Positions (direct):
P (0.5318, 0.6822, 0.6287)
Ir (0.0782, 0.4221, 0.5994)
O (0.7285, 0.5848, 0.8305)
As (0.5923, 0.1971, 0.4534)
Cs (0.1329, 0.9199, 0.0625)

Summary:
Magnetic moment: 0.00 Bohr magnetons per cell



# CsAsPIrO

An optimized crystal structure of CsAsPIrO (PBE-GGA, Alexandria).

abc: 8.0999 3.8775 7.9590
angles: 90.00 102.94 90.00
Positions (direct):
Ir (0.5283, 0.5000, 0.0095)
Ir (0.5283, 0.0000, 0.5095)
As (0.4424, 0.0000, 0.1928)
As (0.4424, 0.5000, 0.6928)
P (0.6700, 0.5000, 0.5141)
P (0.6700, 0.0000, 0.0141)
Cs (0.0687, 0.5000, 0.2832)
Cs (0.0687, 0.0000, 0.7832)
O (0.8650, 0.5000, 0.5430)
O (0.8650, 0.0000, 0.0430)

Summary:
Magnetic moment: 0.00 Bohr magnetons per cell



# CsAsPIrO

An optimized crystal structure of CsAsPIrO (PBE-GGA, Alexandria).

abc: 3.7789 4.0349 8.6251
angles: 80.56 77.36 62.12
Positions (direct):
P (0.3282, 0.3248, 0.4095)
As (0.4391, 0.8427, 0.6699)
Cs (0.8195, 0.7013, 0.0512)
O (0.2160, 0.1299, 0.8297)
Ir (0.9844, 0.9563, 0.4653)

Summary:
Magnetic moment: 0.00 Bohr magnetons per cell



# CsAsPIrO

An optimized crystal structure of CsAsPIrO (PBE-GGA, Alexandria).

abc: 8.6176 3.9428 6.8763
angles: 90.00 105.54 90.00
Positions (direct):
Cs (0.9516, 0.5000, 0.4230)
Cs (0.9516, 0.0000, 0.9230)
P (0.5918, 0.0000, 0.4699)
P (0.5918, 0.5000, 0.9699)
Ir (0.5090, 0.5000, 0.6097)
Ir (0.5090, 0.0000, 0.1097)
O (0.1566, 0.5000, 0.1598)
O (0.1566, 0.0000, 0.6598)
As (0.3656, 0.0000, 0.7292)
As (0.3656, 0.5000, 0.2292)

Summary:
Magnetic moment: 0.00 Bohr magnetons per cell



# CsAsPIrO

An optimized crystal structure of CsAsPIrO (PBE-GGA, Alexandria).

abc: 8.2800 4.3269 6.7210
angles: 90.00 109.84 90.00
Positions (direct):
O (0.8553, 0.0000, 0.0753)
O (0.8553, 0.5000, 0.5753)
Ir (0.5452, 0.5000, 0.7988)
Ir (0.5452, 0.0000, 0.2988)
As (0.4537, 0.0000, 0.6109)
As (0.4537, 0.5000, 0.1109)
Cs (0.0653, 0.0000, 0.8023)
Cs (0.0653, 0.5000, 0.3023)
P (0.6550, 0.0000, 0.9998)
P (0.6550, 0.5000, 0.4998)

Summary:
Magnetic moment: 0.00 Bohr magnetons per cell



# CsAsPIrO

An optimized crystal structure of CsAsPIrO (PBE-GGA, Alexandria).

abc: 8.5680 3.4316 7.8730
angles: 90.00 107.57 90.00
Positions (direct):
O (0.7671, 0.5000, 0.3493)
O (0.7671, 0.0000, 0.8493)
As (0.4177, 0.0000, 0.8696)
As (0.4177, 0.5000, 0.3696)
P (0.7421, 0.0000, 0.0427)
P (0.7421, 0.5000, 0.5427)
Cs (0.0741, 0.0000, 0.4627)
Cs (0.0741, 0.5000, 0.9627)
Ir (0.5735, 0.5000, 0.0948)
Ir (0.5735, 0.0000, 0.5948)

Summary:
Magnetic moment: 0.00 Bohr magnetons per cell



# CsAsPIrO

An optimized crystal structure of CsAsPIrO (PBE-GGA, Alexandria).

abc: 3.5970 4.6985 7.7586
angles: 75.59 88.70 67.15
Positions (direct):
Cs (0.0642, 0.9453, 0.9444)
O (0.7704, 0.5762, 0.2527)
P (0.7216, 0.6765, 0.6160)
Ir (0.2373, 0.6541, 0.4440)
As (0.2514, 0.2116, 0.3174)

Summary:
Magnetic moment: 0.00 Bohr magnetons per cell



# CsAsIrPb

An optimized crystal structure of CsAsIrPb (PBE-GGA, Alexandria).

abc: 4.2296 4.2296 14.1967
angles: 90.00 90.00 90.00
Positions (direct):
As (0.7500, 0.7500, 0.9066)
As (0.2500, 0.2500, 0.0934)
Ir (0.7500, 0.2500, 0.0000)
Ir (0.2500, 0.7500, 0.0000)
Cs (0.7500, 0.7500, 0.2447)
Cs (0.2500, 0.2500, 0.7553)
Pb (0.2500, 0.7500, 0.5000)
Pb (0.7500, 0.2500, 0.5000)

Summary:
Magnetic moment: 0.00 Bohr magnetons per cell



# Cs2ReAsIr

An optimized crystal structure of Cs2ReAsIr (PBE-GGA, Alexandria).

abc: 6.3393 4.7041 6.3393
angles: 90.00 90.00 90.00
Site moments in Bohr magnetons follow the coordinates.
Positions (direct):
Cs (0.5000, 0.0000, 0.0000)  0.00
Cs (0.0000, 0.0000, 0.5000)  0.00
Ir (0.5000, 0.5000, 0.5000)  1.85
Re (0.0000, 0.0000, 0.0000)  0.29
As (0.0000, 0.5000, 0.0000)  -0.01

Summary:
Magnetic moment: 2.34 Bohr magnetons per cell



# CsSnAsIr

An optimized crystal structure of CsSnAsIr (PBE-GGA, Alexandria).

abc: 4.1511 4.1511 14.2383
angles: 90.00 90.00 90.00
Positions (direct):
As (0.2500, 0.2500, 0.0957)
As (0.7500, 0.7500, 0.9043)
Ir (0.2500, 0.7500, 0.0000)
Ir (0.7500, 0.2500, 0.0000)
Sn (0.2500, 0.7500, 0.5000)
Sn (0.7500, 0.2500, 0.5000)
Cs (0.2500, 0.2500, 0.7508)
Cs (0.7500, 0.7500, 0.2492)

Summary:
Magnetic moment: 0.00 Bohr magnetons per cell



Energy (computed, eV/f.u.): -16.325 -12.558 -28.140 -29.178 -27.850 -28.270 -28.928 -27.472 -26.960 -18.988 -19.749 -19.548
Mass density (computed, Mg/m³): 10.494 5.010 6.165 6.094 6.561 6.595 6.554 6.727 6.364 7.941 6.317 7.022